An optimized crystal structure of Ce2PrSm, computed with PBE-GGA.

Lattice parameters (Å, degrees): 3.5506 3.5506 35.1864 90.00 90.00 120.00
Space group R3m (No. 160, hexagonal axes)
Unique sites:
1 Ce 0.0000 0.0000 0.0000 x3
2 Ce 0.0000 0.0000 0.1647 x3
3 Pr 0.0000 0.0000 0.5839 x3
4 Sm 0.0000 0.0000 0.4149 x3

Calculated values
- Calculated formation energy: 117 meV per atom
- Excess energy over the best structure of this formula in the dataset: 0.00 eV/f.u.